DFT (GGA-PBE) results for Na2FeSb2 after structural relaxation.

The structure in extended XYZ format:
```
10
Lattice="8.9380 0.0000 0.0000 0.0000 8.9380 0.0000 0.0000 0.0000 3.0924" Properties=species:S:1:pos:R:3 pbc="T T T"
Fe 0.0000 0.0000 0.0000
Fe 4.4690 4.4690 0.0000
Sb 7.2725 2.8035 1.5462
Sb 1.6656 6.1346 1.5462
Sb 6.1346 7.2725 1.5462
Sb 2.8035 1.6656 1.5462
Na 5.4848 1.0157 0.0000
Na 7.9223 5.4848 0.0000
Na 3.4533 7.9223 0.0000
Na 1.0157 3.4533 0.0000
```

Calculated values
The final energy is -3.4764 eV per atom. The calculation puts the volume at 247.0 Å³ per cell. The space group is P4/mbm. As for the uncorrected formation energy: 393 meV per atom.